1.
Material: Dy5In2CoRu2
Method: DFT, PBE
State: relaxed

Unit cell a=11.6173 b=11.6173 c=3.4464 alpha=90.00 beta=90.00 gamma=90.00
Closest atoms and distances in Å follow each position.
Sites, in units of the cell vectors:
Dy1 0.0000 0.5000 0.0000  4 Ru 2.84
Dy2 0.0615 0.1945 0.0000  2 Ru 2.75, 2 Co 2.93
Dy3 0.1945 0.9385 0.0000  2 Ru 2.75, 2 Co 2.93
Dy4 0.3055 0.4385 0.0000  2 Ru 2.75, 2 Co 2.93
Dy5 0.4385 0.6945 0.0000  2 Ru 2.75, 2 Co 2.93
Dy6 0.5000 0.0000 0.0000  4 Ru 2.84
Dy7 0.5615 0.3055 0.0000  2 Ru 2.75, 2 Co 2.93
Dy8 0.6945 0.5615 0.0000  2 Ru 2.75, 2 Co 2.93
Dy9 0.8055 0.0615 0.0000  2 Ru 2.75, 2 Co 2.93
Dy10 0.9385 0.8055 0.0000  2 Ru 2.75, 2 Co 2.93
In1 0.1823 0.6823 0.5000  1 Ru 2.96
In2 0.3177 0.1823 0.5000  1 Ru 2.96
In3 0.6823 0.8177 0.5000  1 Ru 2.96
In4 0.8177 0.3177 0.5000  1 Ru 2.96
Co1 0.0000 0.0000 0.5000  8 Dy 2.93
Co2 0.5000 0.5000 0.5000  8 Dy 2.93
Ru1 0.1376 0.3624 0.5000  6 Dy 2.75-2.84, 1 In 2.96
Ru2 0.3624 0.8624 0.5000  6 Dy 2.75-2.84, 1 In 2.96
Ru3 0.6376 0.1376 0.5000  6 Dy 2.75-2.84, 1 In 2.96
Ru4 0.8624 0.6376 0.5000  6 Dy 2.75-2.84, 1 In 2.96

Results
formation energy from the elements = -0.2703 eV per atom
VASP energy = -5.68 eV/atom

---

2.
Material: DyInCoRu
Method: DFT, PBE
State: relaxed

Unit cell a=4.6236 b=4.6236 c=4.6236 alpha=60.00 beta=60.00 gamma=60.00
Closest atoms and distances in Å follow each position.
Sites, in units of the cell vectors:
Dy1 0.0000 0.0000 0.0000  4 Ru 2.83, 4 Co 2.83
In1 0.5000 0.5000 0.5000  4 Ru 2.83, 4 Co 2.83
Co1 0.2500 0.2500 0.2500  4 In 2.83, 4 Dy 2.83
Ru1 0.7500 0.7500 0.7500  4 Dy 2.83, 4 In 2.83

Results
formation energy from the elements = -0.1219 eV per atom
VASP energy = -6.05 eV/atom

---

no.,N(E_F) (states/eV/f.u.)
1,6.0
2,5.4